[1]
Computed, not measured: a geometry-optimized Rb4Sm3SbS8 structure at the PBE level of DFT.

Calculated values
The energy comes out at -4.99 eV/atom. The density of states at the Fermi level comes out at 0.00 states/eV/atom.

a = 8.3264 Å, b = 8.3264 Å, c = 23.0501 Å
α = 90.00°, β = 90.00°, γ = 120.00°
Space group R-3m (No. 166, hexagonal axes)
Asymmetric unit:
Rb 0.0000 0.0000 0.0000
Rb 0.0000 0.5000 0.0000
Sm 0.0000 0.5000 0.5000
Sb 0.0000 0.0000 0.5000
S 0.0000 0.0000 0.2320
S 0.0025 0.5013 0.2314



[2]
Computed, not measured: a geometry-optimized RbSnSbS3 structure at the PBE level of DFT.

Calculated values
The energy comes out at -4.19 eV/atom.

a = 8.228 Å, b = 4.068 Å, c = 10.392 Å
α = 90.00°, β = 90.94°, γ = 90.00°
Space group P2_1/m (No. 11)
Asymmetric unit:
Rb 0.104 0.250 0.186
Sn 0.283 0.750 0.508
Sb 0.391 0.250 0.828
S 0.159 0.250 0.669
S 0.271 0.750 0.963
S 0.463 0.250 0.347



[3]
Computed, not measured: a geometry-optimized Rb2SnSb2S6 structure at the PBE level of DFT.

Calculated values
The energy comes out at -4.15 eV/atom.

a = 6.895 Å, b = 11.832 Å, c = 8.306 Å
α = 90.00°, β = 106.74°, γ = 90.00°
Space group C2/m (No. 12)
Asymmetric unit:
Rb 0.000 0.172 0.000
Sn 0.000 0.000 0.500
Sb 0.000 0.331 0.500
S 0.222 0.159 0.687
S 0.240 0.000 0.313



[4]
Computed, not measured: a geometry-optimized RbSnSbS6 structure at the PBE level of DFT.

Calculated values
The energy comes out at -4.10 eV/atom.

a = 5.062 Å, b = 7.006 Å, c = 8.119 Å
α = 90.88°, β = 103.02°, γ = 97.00°
Space group P1 (No. 1)
Asymmetric unit:
Rb 0.000 0.000 0.000
Sn 0.370 0.863 0.494
Sb 0.629 0.351 0.523
S 0.009 0.624 0.317
S 0.136 0.598 0.794
S 0.275 0.441 0.261
S 0.322 0.133 0.672
S 0.505 0.635 0.729
S 0.631 0.032 0.316



[5]
Computed, not measured: a geometry-optimized RbSrSbS4 structure at the PBE level of DFT.

Calculated values
The energy comes out at -4.34 eV/atom. The density of states at the Fermi level comes out at 0.00 states/eV/atom.

a = 7.171 Å, b = 7.095 Å, c = 9.216 Å
α = 90.00°, β = 106.66°, γ = 90.00°
Space group P2_1/m (No. 11)
Asymmetric unit:
Rb 0.238 0.250 0.437
Sr 0.269 0.250 0.945
Sb 0.275 0.750 0.178
S 0.078 0.750 0.342
S 0.079 0.750 0.925
S 0.493 0.008 0.219



[6]
Computed, not measured: a geometry-optimized RbSrSb2S structure at the PBE level of DFT.

Calculated values
The energy comes out at -2.44 eV/atom. The density of states at the Fermi level comes out at 2.49 states/eV/atom.

a = 6.015 Å, b = 6.015 Å, c = 11.219 Å
α = 90.00°, β = 90.00°, γ = 90.00°
Space group P4/mmm (No. 123)
Asymmetric unit:
Rb 0.000 0.000 0.000
Sr 0.000 0.000 0.500
Sb 0.000 0.500 0.500
S 0.500 0.500 0.000



[7]
Computed, not measured: a geometry-optimized RbTaSbS6 structure at the PBE level of DFT.

Calculated values
The energy comes out at -5.25 eV/atom. The density of states at the Fermi level comes out at 0.45 states/eV/atom.

a = 6.327 Å, b = 6.776 Å, c = 7.356 Å
α = 87.72°, β = 85.22°, γ = 67.15°
Space group P1 (No. 1)
Asymmetric unit:
Rb 0.000 0.000 0.000
Ta 0.313 0.281 0.533
Sb 0.582 0.703 0.523
S 0.242 0.485 0.235
S 0.294 0.602 0.695
S 0.388 0.996 0.307
S 0.541 0.015 0.733
S 0.577 0.393 0.295
S 0.945 0.347 0.646



[8]
Computed, not measured: a geometry-optimized Rb2Tb2SbS6 structure at the PBE level of DFT.

Calculated values
The energy comes out at -5.02 eV/atom. The density of states at the Fermi level comes out at 0.44 states/eV/atom.

a = 6.948 Å, b = 11.979 Å, c = 8.236 Å
α = 90.00°, β = 106.49°, γ = 90.00°
Space group C2/m (No. 12)
Asymmetric unit:
Rb 0.000 0.169 0.000
Tb 0.000 0.333 0.500
Sb 0.000 0.000 0.500
S 0.224 0.162 0.686
S 0.243 0.500 0.686



[9]
Computed, not measured: a geometry-optimized Rb3Tb3SbS8 structure at the PBE level of DFT.

Calculated values
The energy comes out at -5.11 eV/atom. The density of states at the Fermi level comes out at 0.15 states/eV/atom.

a = 8.0659 Å, b = 8.0659 Å, c = 23.5080 Å
α = 90.00°, β = 90.00°, γ = 120.00°
Space group R-3m (No. 166, hexagonal axes)
Asymmetric unit:
Rb 0.0000 0.5000 0.0000
Tb 0.0000 0.5000 0.5000
Sb 0.0000 0.0000 0.5000
S 0.0000 0.0000 0.2303
S 0.0115 0.5058 0.2287



[10]
Computed, not measured: a geometry-optimized RbSb2TeS structure at the PBE level of DFT.

Calculated values
As for the offset from the most stable computed form: 1.487 eV/atom. The density of states at the Fermi level comes out at 1.60 states/eV/atom.

a = 6.277 Å, b = 6.277 Å, c = 6.256 Å
α = 90.00°, β = 90.00°, γ = 90.00°
Space group P4/mmm (No. 123)
Asymmetric unit:
Rb 0.000 0.000 0.000
Sb 0.000 0.500 0.000
Te 0.000 0.000 0.500
S 0.500 0.500 0.500



[11]
Computed, not measured: a geometry-optimized RbSb2TeS structure at the PBE level of DFT.

Calculated values
As for the offset from the most stable computed form: 0.000 eV/atom. The density of states at the Fermi level comes out at 0.89 states/eV/atom.

a = 5.431 Å, b = 5.431 Å, c = 5.549 Å
α = 90.00°, β = 90.00°, γ = 90.00°
Space group P4/mmm (No. 123)
Asymmetric unit:
Rb 0.000 0.000 0.000
Sb 0.000 0.500 0.500
Te 0.500 0.500 0.000
S 0.500 0.500 0.500



[12]
Computed, not measured: a geometry-optimized Rb2SbTeS4 structure at the PBE level of DFT.

Calculated values
The energy comes out at -3.68 eV/atom. The density of states at the Fermi level comes out at 0.61 states/eV/atom.

a = 8.080 Å, b = 8.080 Å, c = 8.163 Å
α = 90.00°, β = 90.00°, γ = 90.00°
Space group I-4 (No. 82)
Asymmetric unit:
Rb 0.000 0.000 0.000
Rb 0.000 0.500 0.250
Sb 0.000 0.500 0.750
Te 0.000 0.000 0.500
S 0.147 0.702 0.563



[13]
Computed, not measured: a geometry-optimized Rb2ThSbS5 structure at the PBE level of DFT.

Calculated values
The energy comes out at -4.92 eV/atom. The density of states at the Fermi level comes out at 0.15 states/eV/atom.

a = 4.451 Å, b = 19.039 Å, c = 14.322 Å
α = 90.00°, β = 90.00°, γ = 90.00°
Space group Cmc2_1 (No. 36)
Asymmetric unit:
Rb 0.000 0.114 0.000
Rb 0.000 0.133 0.662
Th 0.000 0.207 0.368
Sb 0.000 0.446 0.762
S 0.000 0.045 0.346
S 0.000 0.301 0.983
S 0.000 0.319 0.732
S 0.000 0.339 0.335
S 0.000 0.498 0.615



[14]
Computed, not measured: a geometry-optimized Rb2TiSbS4 structure at the PBE level of DFT.

Calculated values
The energy comes out at -4.72 eV/atom. The density of states at the Fermi level comes out at 0.22 states/eV/atom.

a = 9.342 Å, b = 8.584 Å, c = 6.753 Å
α = 90.00°, β = 90.00°, γ = 90.00°
Space group Pmn2_1 (No. 31)
Asymmetric unit:
Rb 0.246 0.160 0.000
Ti 0.000 0.378 0.532
Sb 0.000 0.671 0.983
S 0.000 0.402 0.880
S 0.000 0.616 0.376
S 0.203 0.232 0.481



[15]
Computed, not measured: a geometry-optimized Rb2TiSbS5 structure at the PBE level of DFT.

Calculated values
The energy comes out at -4.69 eV/atom. The density of states at the Fermi level comes out at 0.22 states/eV/atom.

a = 4.075 Å, b = 18.920 Å, c = 13.970 Å
α = 90.00°, β = 90.00°, γ = 90.00°
Space group Cmc2_1 (No. 36)
Asymmetric unit:
Rb 0.000 0.121 0.000
Rb 0.000 0.137 0.633
Ti 0.000 0.214 0.355
Sb 0.000 0.437 0.763
S 0.000 0.066 0.368
S 0.000 0.294 0.954
S 0.000 0.312 0.724
S 0.000 0.327 0.321
S 0.000 0.496 0.613



[16]
Computed, not measured: a geometry-optimized RbTlSb2S structure at the PBE level of DFT.

Calculated values
The energy comes out at -1.79 eV/atom. The density of states at the Fermi level comes out at 0.94 states/eV/atom.

a = 6.277 Å, b = 6.277 Å, c = 6.705 Å
α = 90.00°, β = 90.00°, γ = 90.00°
Space group P4/mmm (No. 123)
Asymmetric unit:
Rb 0.000 0.000 0.000
Tl 0.000 0.000 0.500
Sb 0.000 0.500 0.000
S 0.500 0.500 0.500



[17]
Computed, not measured: a geometry-optimized Rb2Tm2SbS6 structure at the PBE level of DFT.

Calculated values
The energy comes out at -5.00 eV/atom. The density of states at the Fermi level comes out at 0.41 states/eV/atom.

a = 6.840 Å, b = 11.826 Å, c = 8.221 Å
α = 90.00°, β = 106.19°, γ = 90.00°
Space group C2/m (No. 12)
Asymmetric unit:
Rb 0.000 0.168 0.000
Tm 0.000 0.333 0.500
Sb 0.000 0.000 0.500
S 0.226 0.164 0.685
S 0.236 0.500 0.684



[18]
Computed, not measured: a geometry-optimized Rb2TmSbS4 structure at the PBE level of DFT.

Calculated values
The energy comes out at -4.58 eV/atom.

a = 8.408 Å, b = 8.615 Å, c = 12.036 Å
α = 90.00°, β = 90.00°, γ = 90.00°
Space group Imma (No. 74)
Asymmetric unit:
Rb 0.000 0.000 0.000
Rb 0.250 0.250 0.250
Tm 0.250 0.250 0.750
Sb 0.000 0.000 0.500
S 0.000 0.040 0.734
S 0.218 0.250 0.521



[19]
Computed, not measured: a geometry-optimized Rb2USbS5 structure at the PBE level of DFT.

Calculated values
The energy comes out at -5.22 eV/atom. The density of states at the Fermi level comes out at 0.51 states/eV/atom.

a = 4.247 Å, b = 18.220 Å, c = 15.053 Å
α = 90.00°, β = 90.00°, γ = 90.00°
Space group Cmc2_1 (No. 36)
Asymmetric unit:
Rb 0.000 0.095 0.000
Rb 0.000 0.142 0.650
U 0.000 0.212 0.375
Sb 0.000 0.457 0.781
S 0.000 0.072 0.399
S 0.000 0.276 0.983
S 0.000 0.318 0.759
S 0.000 0.343 0.333
S 0.000 0.496 0.630



[20]
Computed, not measured: a geometry-optimized RbUSbS5 structure at the PBE level of DFT.

Calculated values
The energy comes out at -5.45 eV/atom. The density of states at the Fermi level comes out at 0.18 states/eV/atom.

a = 9.178 Å, b = 12.086 Å, c = 9.979 Å
α = 90.00°, β = 114.78°, γ = 90.00°
Space group C2/c (No. 15)
Asymmetric unit:
Rb 0.000 0.164 0.250
U 0.000 0.500 0.000
Sb 0.000 0.197 0.750
S 0.000 0.447 0.250
S 0.105 0.303 0.584
S 0.209 0.066 0.929



[21]
Computed, not measured: a geometry-optimized RbUSbS6 structure at the PBE level of DFT.

Calculated values
The energy comes out at -5.26 eV/atom.

a = 6.4926 Å, b = 6.4926 Å, c = 7.9271 Å
α = 90.00°, β = 90.00°, γ = 120.00°
Space group P312 (No. 149)
Asymmetric unit:
Rb 0.0000 0.0000 0.0000
U 0.3333 0.6667 0.5000
Sb 0.6667 0.3333 0.5000
S 0.3671 0.0027 0.6906